# KBa2Se PBE optimized geometry
data_KBa2Se
_cell_length_a 6.8486
_cell_length_b 6.8486
_cell_length_c 6.8486
_cell_angle_alpha 133.45
_cell_angle_beta 133.45
_cell_angle_gamma 67.95
_space_group_name_H-M_alt 'P 1'
_space_group_IT_number 1
_space_group_name_Hall 'P 1'
loop_
_atom_site_label
_atom_site_type_symbol
_atom_site_fract_x
_atom_site_fract_y
_atom_site_fract_z
_atom_site_occupancy
Ba1 Ba 0.0000 0.0000 0.0000 1
Se1 Se 0.7500 0.2500 0.5000 1
Ba2 Ba 0.5000 0.5000 0.0000 1
K1 K 0.2500 0.7500 0.5000 1
# * total energy: -10.11 eV/f.u.

# Y2ZrAl PBE optimized geometry
data_Y2ZrAl
_cell_length_a 3.4392
_cell_length_b 3.4392
_cell_length_c 8.6581
_cell_angle_alpha 90.00
_cell_angle_beta 90.00
_cell_angle_gamma 90.00
_space_group_name_H-M_alt 'P 1'
_space_group_IT_number 1
_space_group_name_Hall 'P 1'
loop_
_atom_site_label
_atom_site_type_symbol
_atom_site_fract_x
_atom_site_fract_y
_atom_site_fract_z
_atom_site_occupancy
Y1 Y 0.0000 0.0000 0.9802 1
Al1 Al 0.5000 0.5000 0.7500 1
Zr1 Zr 0.5000 0.5000 0.2500 1
Y2 Y 0.0000 0.0000 0.5198 1
# * ΔH_f (0 K): -0.148 eV per atom

# Rb4TlCr3Br12 PBE optimized geometry
data_Rb4TlCr3Br12
_cell_length_a 9.5178
_cell_length_b 9.5178
_cell_length_c 9.5178
_cell_angle_alpha 109.47
_cell_angle_beta 109.47
_cell_angle_gamma 109.47
_space_group_name_H-M_alt 'P 1'
_space_group_IT_number 1
_space_group_name_Hall 'P 1'
loop_
_atom_site_label
_atom_site_type_symbol
_atom_site_fract_x
_atom_site_fract_y
_atom_site_fract_z
_atom_site_occupancy
Cr1 Cr 0.5000 0.0000 0.5000 1
Tl1 Tl 0.0000 0.0000 0.0000 1
Br1 Br 0.7242 0.0000 0.7242 1
Br2 Br 0.0000 0.2758 0.2758 1
Br3 Br 0.7500 0.5000 0.2500 1
Br4 Br 0.2758 0.2758 0.0000 1
Br5 Br 0.7242 0.7242 0.0000 1
Rb1 Rb 0.0000 0.0000 0.5000 1
Br6 Br 0.0000 0.7242 0.7242 1
Br7 Br 0.5000 0.2500 0.7500 1
Rb2 Rb 0.0000 0.5000 0.0000 1
Br8 Br 0.5000 0.7500 0.2500 1
Cr2 Cr 0.0000 0.5000 0.5000 1
Br9 Br 0.2500 0.5000 0.7500 1
Br10 Br 0.2500 0.7500 0.5000 1
Br11 Br 0.2758 0.0000 0.2758 1
Rb3 Rb 0.5000 0.5000 0.5000 1
Rb4 Rb 0.5000 0.0000 0.0000 1
Br12 Br 0.7500 0.2500 0.5000 1
Cr3 Cr 0.5000 0.5000 0.0000 1
# * total energy: -77.51 eV/f.u.

# AcIn2Pb PBE optimized geometry
data_AcIn2Pb
_cell_length_a 5.1188
_cell_length_b 4.8877
_cell_length_c 4.8877
_cell_angle_alpha 90.00
_cell_angle_beta 90.00
_cell_angle_gamma 90.00
_space_group_name_H-M_alt 'P 1'
_space_group_IT_number 1
_space_group_name_Hall 'P 1'
loop_
_atom_site_label
_atom_site_type_symbol
_atom_site_fract_x
_atom_site_fract_y
_atom_site_fract_z
_atom_site_occupancy
Ac1 Ac 0.5000 0.5000 0.5000 1
Pb1 Pb 0.5000 0.0000 0.0000 1
In1 In 0.0000 0.0000 0.5000 1
In2 In 0.0000 0.5000 0.0000 1
# * ΔH_f (0 K): -0.403 eV per atom

Size of the total moment for every record listed, in sequence, given in μB per atom: 0.00; 0.00; 0.55; 0.00.